[1]
TaGeBi2Au: relaxed, PBE.

Cell and atoms, written as POSCAR:
```
TaGeBi2Au
1.0
5.525 0.000 0.000
0.000 5.525 0.000
0.000 0.000 4.688
Ta Ge Bi Au
1 1 2 1
direct
0.000 0.000 0.000 Ta
0.500 0.500 0.500 Ge
0.000 0.500 0.500 Bi
0.500 0.000 0.500 Bi
0.500 0.500 0.000 Au
```

Computed properties:
Symmetry: No. 123
ΔE_f (eV per atom): 1.21
DOS at the Fermi energy (states/eV/cell): 5.914
Total energy (eV for the cell shown): -21.44

[2]
CrInRe2: relaxed, PBE.

Cell and atoms, written as POSCAR:
```
CrInRe2
1.0
3.065 0.000 0.000
0.000 3.065 0.000
0.000 0.000 6.644
Cr In Re
1 1 2
direct
0.000 0.000 0.000 Cr
0.500 0.500 0.273 In
0.000 0.000 0.562 Re
0.500 0.500 0.807 Re
```

Computed properties:
Symmetry: No. 99
ΔE_f (eV per atom): 0.35
DOS at the Fermi energy (states/eV/cell): 5.583
Total energy (eV for the cell shown): -35.85

[3]
La2Ho2Mg15: relaxed, PBE.

Cell and atoms, written as POSCAR:
```
La2Ho2Mg15
1.0
5.295 3.057 5.104
-5.295 3.057 5.104
0.000 -6.114 5.104
La Ho Mg
2 2 15
direct
0.167 0.167 0.167 La
0.833 0.833 0.833 La
0.400 0.400 0.400 Ho
0.600 0.600 0.600 Ho
0.000 0.500 0.500 Mg
0.144 0.144 0.655 Mg
0.144 0.655 0.144 Mg
0.206 0.500 0.794 Mg
0.206 0.794 0.500 Mg
0.345 0.856 0.856 Mg
0.500 0.000 0.500 Mg
0.500 0.206 0.794 Mg
0.500 0.500 0.000 Mg
0.500 0.794 0.206 Mg
0.655 0.144 0.144 Mg
0.794 0.206 0.500 Mg
0.794 0.500 0.206 Mg
0.856 0.345 0.856 Mg
0.856 0.856 0.345 Mg
```

Computed properties:
Symmetry: No. 166
ΔE_f (eV per atom): -0.03
DOS at the Fermi energy (states/eV/cell): 15.196
Total energy (eV for the cell shown): -43.45

[4]
AcEu2S: relaxed, PBE.

Cell and atoms, written as POSCAR:
```
AcEu2S
1.0
1.970 1.137 11.032
-1.970 1.137 11.032
0.000 -2.275 11.032
Ac Eu S
1 2 1
direct
0.000 0.000 0.000 Ac
0.114 0.114 0.114 Eu
0.886 0.886 0.886 Eu
0.500 0.500 0.500 S
```

Computed properties:
Symmetry: No. 166
ΔE_f (raw) (meV/atom): -866
DOS at the Fermi energy (states/eV/cell): 10.223
Total energy (eV for the cell shown): -32.25

[5]
LaTb2In: relaxed, PBE.

Cell and atoms, written as POSCAR:
```
LaTb2In
1.0
4.963 0.000 0.000
0.000 4.963 0.000
0.000 0.000 4.874
La Tb In
1 2 1
direct
0.000 0.000 0.000 La
0.000 0.500 0.500 Tb
0.500 0.000 0.500 Tb
0.500 0.500 0.000 In
```

Computed properties:
Symmetry: No. 123
ΔE_f (eV per atom): -0.26
DOS at the Fermi energy (states/eV/cell): 6.377
ΔE to the lowest computed polymorph (meV per atom): 0
Total energy (eV for the cell shown): -17.97

[6]
Nd6CSe3S2: relaxed, PBE.

Cell and atoms, written as POSCAR:
```
Nd6CSe3S2
1.0
3.535 -6.112 0.000
3.535 6.112 0.000
-2.346 0.000 6.848
Nd C Se S
6 1 3 2
direct
0.072 0.382 0.218 Nd
0.235 0.235 0.779 Nd
0.382 0.072 0.218 Nd
0.618 0.928 0.782 Nd
0.765 0.765 0.221 Nd
0.928 0.618 0.782 Nd
0.000 0.000 0.000 C
0.172 0.828 0.500 Se
0.500 0.500 0.500 Se
0.828 0.172 0.500 Se
0.334 0.666 0.000 S
0.666 0.334 0.000 S
```

Computed properties:
Symmetry: No. 12
ΔE_f (raw) (meV/atom): -1672
DOS at the Fermi energy (states/eV/cell): 4.943
Total energy (eV for the cell shown): -76.60

[7]
TbDy2Tl: relaxed, PBE.

Cell and atoms, written as POSCAR:
```
TbDy2Tl
1.0
6.705 0.000 0.000
0.000 5.361 0.000
-1.193 0.000 6.603
Tb Dy Tl
2 4 2
direct
0.161 0.250 0.426 Tb
0.839 0.750 0.574 Tb
0.081 0.250 0.906 Dy
0.366 0.750 0.776 Dy
0.634 0.250 0.224 Dy
0.919 0.750 0.094 Dy
0.387 0.750 0.262 Tl
0.613 0.250 0.738 Tl
```

Computed properties:
Symmetry: No. 11
ΔE_f (eV per atom): -0.19
DOS at the Fermi energy (states/eV/cell): 7.795
ΔE to the lowest computed polymorph (meV per atom): 0
Total energy (eV for the cell shown): -33.89

[8]
ZnRuW2: relaxed, PBE.

Cell and atoms, written as POSCAR:
```
ZnRuW2
1.0
2.692 -4.049 0.000
2.692 4.049 0.000
-0.015 0.000 2.761
Zn Ru W
1 1 2
direct
0.000 0.000 0.000 Zn
0.500 0.500 0.000 Ru
0.000 0.500 0.500 W
0.500 0.000 0.500 W
```

Computed properties:
Symmetry: No. 12
ΔE_f (eV per atom): 0.22
DOS at the Fermi energy (states/eV/cell): 2.852
Total energy (eV for the cell shown): -35.59

Copy entry 4 word for word.
AcEu2S: relaxed, PBE.

Cell and atoms, written as POSCAR:
```
AcEu2S
1.0
1.970 1.137 11.032
-1.970 1.137 11.032
0.000 -2.275 11.032
Ac Eu S
1 2 1
direct
0.000 0.000 0.000 Ac
0.114 0.114 0.114 Eu
0.886 0.886 0.886 Eu
0.500 0.500 0.500 S
```

Computed properties:
Symmetry: No. 166
ΔE_f (raw) (meV/atom): -866
DOS at the Fermi energy (states/eV/cell): 10.223
Total energy (eV for the cell shown): -32.25

Which formula does entry 1 have?
TaGeBi2Au